Record 1
{
  "formula": "Ac3RuCl2",
  "functional": "PBE",
  "state": "relaxed",
  "cell": [[-3.3152, -1.8173, -6.3479], [0.2784, -6.8920, 3.5012], [-5.2205, 4.8488, 3.0118]],
  "species": ["Cl", "Cl", "Ac", "Cl", "Ac", "Ac", "Ac", "Ac", "Ac", "Ru", "Ru", "Cl"],
  "fractional_positions": [[0.2500, 0.2249, 0.7751], [0.7500, 0.7751, 0.2249], [0.4998, 0.3788, 0.2274], [0.7500, 0.0694, 0.9306], [0.9998, 0.2274, 0.3788], [0.0002, 0.7726, 0.6212], [0.0000, 0.5000, 0.0000], [0.5000, 0.0000, 0.5000], [0.5002, 0.6212, 0.7726], [0.2500, 0.5991, 0.4009], [0.7500, 0.4009, 0.5991], [0.2500, 0.9306, 0.0694]],
  "polymorph_energy_ev_per_atom": 0.0078,
  "formation_energy_uncorrected_ev_per_atom": -1.1179,
  "sg": "C2/c"
}


Record 2
{
  "formula": "HfNb5",
  "functional": "PBE",
  "state": "relaxed",
  "cell": [[3.3469, 0.0000, 0.0000], [0.0000, 4.8127, 0.0000], [0.0000, -2.4063, 7.0105]],
  "species": ["Hf", "Nb", "Nb", "Nb", "Nb", "Nb"],
  "fractional_positions": [[0.0000, 0.0000, 0.0000], [0.5000, 0.1758, 0.3515], [0.0000, 0.6641, 0.3282], [0.5000, 0.8242, 0.6485], [0.0000, 0.3359, 0.6718], [0.5000, 0.5000, 0.0000]],
  "e_form_ev_per_fu": 0.06,
  "polymorph_energy_ev_per_atom": 0.0000,
  "sg": "Cmmm"
}


Record 3
{
  "formula": "Li8CaIr4",
  "functional": "PBE",
  "state": "relaxed",
  "cell": [[-1.5858, 0.2479, -4.6958], [-5.4275, -4.2114, -1.0116], [-4.8285, 4.9365, -0.7309]],
  "species": ["Li", "Li", "Ir", "Ca", "Ir", "Li", "Li", "Ir", "Li", "Li", "Ir", "Li", "Li"],
  "fractional_positions": [[0.5000, 0.7676, 0.2324], [0.7324, 0.7676, 0.7676], [0.5000, 0.5000, 0.0000], [0.0000, 0.0000, 0.0000], [0.0000, 0.5000, 0.0000], [0.6628, 0.3372, 0.3372], [0.0000, 0.6628, 0.3372], [0.5000, 0.0000, 0.5000], [0.3372, 0.6628, 0.6628], [0.0000, 0.3372, 0.6628], [0.0000, 0.0000, 0.5000], [0.2676, 0.2324, 0.2324], [0.5000, 0.2324, 0.7676]],
  "e_form_ev_per_fu": -2.88,
  "sg": "I4/mmm"
}


Record 4
{
  "formula": "La8GeTe4P3",
  "functional": "PBE",
  "state": "relaxed",
  "cell": [[-4.3159, 0.1524, -7.6606], [3.9802, -7.7229, -2.3960], [-4.4628, 0.3591, 7.5689]],
  "species": ["La", "P", "La", "Ge", "La", "La", "P", "La", "La", "La", "Te", "Te", "P", "Te", "La", "Te"],
  "fractional_positions": [[0.2626, 0.2797, 0.0211], [0.5000, 0.5000, 0.0000], [0.7374, 0.7203, 0.9789], [0.0000, 0.5000, 0.0000], [0.2415, 0.7203, 0.9789], [0.7388, 0.7166, 0.4777], [0.0000, 0.5000, 0.5000], [0.2415, 0.7202, 0.4829], [0.7585, 0.2798, 0.5171], [0.2612, 0.2834, 0.5223], [0.0000, 0.0000, 0.5000], [0.5000, 0.0000, 0.5000], [0.5000, 0.5000, 0.5000], [0.0000, 0.0000, 0.0000], [0.7585, 0.2797, 0.0211], [0.5000, 0.0000, 0.0000]],
  "formation_energy_uncorrected_ev_per_atom": -1.5725,
  "sg": "R-3m"
}


Record 5
{
  "formula": "MnFeSi2",
  "functional": "PBE",
  "state": "relaxed",
  "cell": [[7.7078, -0.0083, -0.0049], [7.2521, 2.6110, -0.0049], [7.2521, 1.2617, 2.2859]],
  "species": ["Fe", "Si", "Mn", "Si"],
  "fractional_positions": [[0.2500, 0.2500, 0.2500], [0.9972, 0.9972, 0.9972], [0.7500, 0.7500, 0.7500], [0.5028, 0.5028, 0.5028]],
  "formation_energy_uncorrected_ev_per_atom": -0.2185,
  "sg": "R-3m"
}


Record 6
{
  "formula": "TlCoTe2I",
  "functional": "PBE",
  "state": "relaxed",
  "cell": [[5.7767, 0.0000, 0.0000], [0.0000, 5.7767, 0.0000], [0.0000, 0.0000, 6.0333]],
  "species": ["Co", "Tl", "Te", "Te", "I"],
  "fractional_positions": [[0.5000, 0.5000, 0.5000], [0.0000, 0.0000, 0.0000], [0.0000, 0.5000, 0.0000], [0.5000, 0.0000, 0.0000], [0.0000, 0.0000, 0.5000]],
  "polymorph_energy_ev_per_atom": 1.0283,
  "formation_energy_uncorrected_ev_per_atom": 1.1123,
  "sg": "P4/mmm"
}